# 1
Compound: Na2SrLi2
Source: the Alexandria database
Functional: meta-GGA SCAN
Structure: PBEsol geometry

Calculated values
The formation energy from the elements comes out at 6.11 kJ per mole of atoms. Its space group is P4/mbm (127).

Unit cell a=3.7754 b=9.4016 c=9.4016 alpha=90.00 beta=90.00 gamma=90.00
Atoms (fractional coordinates):
Sr 0.0000 0.0000 0.0000
Sr 0.0000 0.5000 0.5000
Li 0.5000 0.1745 0.6745
Li 0.5000 0.6745 0.8255
Li 0.5000 0.8255 0.3255
Li 0.5000 0.3255 0.1745
Na 0.0000 0.3756 0.8756
Na 0.0000 0.8756 0.6244
Na 0.0000 0.6244 0.1244
Na 0.0000 0.1244 0.3756


# 2
Compound: NiW
Source: the Alexandria database
Functional: meta-GGA SCAN
Structure: PBEsol geometry

Calculated values
The formation energy from the elements comes out at 33.31 kJ per mole of atoms. Its space group is R-3m (166).

Unit cell a=2.6945 b=2.6945 c=8.6956 alpha=81.09 beta=81.09 gamma=60.00
Atoms (fractional coordinates):
Ni 0.8715 0.8715 0.3856
Ni 0.1285 0.1285 0.6144
W 0.3816 0.3816 0.8553
W 0.6184 0.6184 0.1447


# 3
Compound: K6Co2O7
Source: the Alexandria database
Functional: meta-GGA SCAN
Structure: PBEsol geometry

Calculated values
Its space group is P2_1/c (14). For the formation energy (no corrections), the calculation gives -1490 meV per atom.

Unit cell a=6.5251 b=9.0370 c=9.1437 alpha=90.00 beta=92.53 gamma=90.00
Last column: magnetic moment on the atom in μB.
Atoms (fractional coordinates):
K 0.3641 0.2004 0.7886  0.00
K 0.1359 0.7004 0.7114  0.00
K 0.6373 0.6512 0.5658  0.00
K 0.8627 0.1512 0.9342  0.00
K 0.3627 0.3488 0.4342  0.00
K 0.1373 0.8488 0.0658  0.00
K 0.7459 0.5268 0.9392  0.01
K 0.7541 0.0268 0.5608  0.01
K 0.2541 0.4732 0.0608  0.01
K 0.2459 0.9732 0.4392  0.01
K 0.6359 0.7996 0.2114  0.00
K 0.8641 0.2996 0.2886  0.00
Co 0.0542 0.6448 0.3625  3.07
Co 0.4458 0.1448 0.1375  3.07
Co 0.9458 0.3552 0.6375  3.07
Co 0.5542 0.8552 0.8625  3.07
O 0.0000 0.5000 0.5000  0.42
O 0.5000 0.0000 0.0000  0.42
O 0.6738 0.3316 0.6451  0.45
O 0.8262 0.8316 0.8549  0.45
O 0.4259 0.6961 0.9289  0.46
O 0.0741 0.1961 0.5711  0.46
O 0.5741 0.3039 0.0711  0.46
O 0.9259 0.8039 0.4289  0.46
O 0.9431 0.5970 0.1877  0.47
O 0.5569 0.0970 0.3123  0.47
O 0.0569 0.4030 0.8123  0.47
O 0.4431 0.9030 0.6877  0.47
O 0.1738 0.1684 0.1451  0.45
O 0.3262 0.6684 0.3549  0.45


# 4
Compound: ReOsRh
Source: the Alexandria database
Functional: meta-GGA SCAN
Structure: PBEsol geometry

Calculated values
The formation energy from the elements comes out at 38.39 kJ per mole of atoms. Its space group is I4mm (107).

Unit cell a=3.2310 b=3.2310 c=4.7070 alpha=110.07 beta=110.07 gamma=90.00
Atoms (fractional coordinates):
Os 0.0035 0.0035 0.0069
Re 0.6647 0.6647 0.3294
Rh 0.3318 0.3318 0.6637


# 5
Compound: KPdI3
Source: the Alexandria database
Functional: meta-GGA SCAN
Structure: PBEsol geometry

Calculated values
Its space group is Pm-3m (221). For the formation energy (no corrections), the calculation gives -749 meV per atom.

Unit cell a=5.4997 b=5.4997 c=5.4997 alpha=90.00 beta=90.00 gamma=90.00
Atoms (fractional coordinates):
I 0.0000 0.5000 0.0000
I 0.0000 0.0000 0.5000
I 0.5000 0.0000 0.0000
K 0.5000 0.5000 0.5000
Pd 0.0000 0.0000 0.0000


# 6
Compound: ZrHg2Cl
Source: the Alexandria database
Functional: meta-GGA SCAN
Structure: PBEsol geometry

Calculated values
Its space group is I-4m2 (119). For the formation energy (no corrections), the calculation gives -217 meV per atom.

Unit cell a=4.4219 b=4.4219 c=5.2138 alpha=115.09 beta=115.09 gamma=90.00
Atoms (fractional coordinates):
Hg 0.0000 0.0000 0.0000
Hg 0.7500 0.2500 0.5000
Zr 0.5000 0.5000 0.0000
Cl 0.2500 0.7500 0.5000


# 7
Compound: MnInO2F
Source: the Alexandria database
Functional: meta-GGA SCAN
Structure: PBEsol geometry

Calculated values
Its space group is P4/mmm (123). For the formation energy (no corrections), the calculation gives -1729 meV per atom.

Unit cell a=3.8359 b=3.8359 c=3.9605 alpha=90.00 beta=90.00 gamma=90.00
Last column: magnetic moment on the atom in μB.
Atoms (fractional coordinates):
F 0.0000 0.0000 0.5000  0.02
Mn 0.0000 0.0000 0.0000  3.60
O 0.0000 0.5000 0.0000  -0.05
O 0.5000 0.0000 0.0000  -0.05
In 0.5000 0.5000 0.5000  -0.22


# 8
Compound: CsScCl3
Source: the Alexandria database
Functional: meta-GGA SCAN
Structure: PBEsol geometry

Calculated values
Its space group is Pm-3m (221). For the formation energy (no corrections), the calculation gives -527 meV per atom.

Unit cell a=5.9943 b=5.9943 c=5.9943 alpha=90.00 beta=90.00 gamma=90.00
Last column: magnetic moment on the atom in μB.
Atoms (fractional coordinates):
Cs 0.0000 0.0000 0.0000  -0.02
Sc 0.5000 0.5000 0.5000  1.05
Cl 0.0000 0.5000 0.0000  -0.04
Cl 0.0000 0.0000 0.5000  -0.04
Cl 0.5000 0.0000 0.0000  -0.04


# 9
Compound: KPb
Source: the Alexandria database
Functional: meta-GGA SCAN
Structure: PBEsol geometry

Calculated values
The formation energy from the elements comes out at -32.63 kJ per mole of atoms. Its space group is Imma (74).

Unit cell a=4.7091 b=5.8778 c=6.4577 alpha=117.07 beta=111.38 gamma=90.00
Atoms (fractional coordinates):
Pb 0.6602 0.9102 0.3204
Pb 0.3398 0.0898 0.6796
K 0.8989 0.6489 0.7979
K 0.1011 0.3511 0.2021


# 10
Compound: Y2ZnRuSe
Source: the Alexandria database
Functional: meta-GGA SCAN
Structure: PBEsol geometry

Calculated values
Its space group is P4/mmm (123). For the formation energy (no corrections), the calculation gives 13 meV per atom.

Unit cell a=4.3971 b=5.2638 c=5.2638 alpha=90.00 beta=90.00 gamma=90.00
Last column: magnetic moment on the atom in μB.
Atoms (fractional coordinates):
Y 0.0000 0.0000 0.5000  -0.13
Y 0.0000 0.5000 0.0000  -0.13
Ru 0.5000 0.0000 0.0000  0.99
Zn 0.0000 0.0000 0.0000  -0.02
Se 0.5000 0.5000 0.5000  0.09


# 11
Compound: CaFeSb2Te
Source: the Alexandria database
Functional: meta-GGA SCAN
Structure: PBEsol geometry

Calculated values
Its space group is P4/mmm (123). For the formation energy (no corrections), the calculation gives 1013 meV per atom.

Unit cell a=5.5430 b=5.5713 c=5.5713 alpha=90.00 beta=90.00 gamma=90.00
Last column: magnetic moment on the atom in μB.
Atoms (fractional coordinates):
Sb 0.0000 0.0000 0.5000  -0.02
Sb 0.0000 0.5000 0.0000  -0.02
Ca 0.0000 0.0000 0.0000  0.00
Te 0.5000 0.0000 0.0000  0.01
Fe 0.5000 0.5000 0.5000  3.37


# 12
Compound: CaNi3Pd
Source: the Alexandria database
Functional: meta-GGA SCAN
Structure: PBEsol geometry

Calculated values
The formation energy from the elements comes out at 59.55 kJ per mole of atoms. Its space group is Pm-3m (221).

Unit cell a=4.5497 b=4.5497 c=4.5497 alpha=90.00 beta=90.00 gamma=90.00
Last column: magnetic moment on the atom in μB.
Atoms (fractional coordinates):
Ni 0.0000 0.5000 0.0000  0.98
Ni 0.0000 0.0000 0.5000  0.98
Ni 0.5000 0.0000 0.0000  0.98
Ca 0.5000 0.5000 0.5000  -0.02
Pd 0.0000 0.0000 0.0000  0.42


Number 1: E -7.034 eV/atom. Number 2: E -42.585 eV/atom. Number 3: E -10.036 eV/atom. Number 4: E -58.518 eV/atom. Number 5: E -31.015 eV/atom. Number 6: E -43.969 eV/atom. Number 7: E -15.257 eV/atom. Number 8: E -15.723 eV/atom. Number 9: E -42.393 eV/atom. Number 10: E -24.808 eV/atom. Number 11: E -26.900 eV/atom. Number 12: E -17.574 eV/atom.